# SCAN AlSiS2N, PBEsol geometry
data_AlSiS2N
_cell_length_a 4.691
_cell_length_b 4.691
_cell_length_c 3.604
_cell_angle_alpha 90.00
_cell_angle_beta 90.00
_cell_angle_gamma 90.00
_space_group_name_H-M_alt 'P 4/m m m'
_space_group_IT_number 123
_space_group_name_Hall '-P 4 2'
loop_
_atom_site_label
_atom_site_type_symbol
_atom_site_fract_x
_atom_site_fract_y
_atom_site_fract_z
_atom_site_occupancy
Al1 Al 0.000 0.000 0.000 1
Si1 Si 0.500 0.500 0.500 1
S1 S 0.000 0.500 0.000 1
N1 N 0.000 0.000 0.500 1
# crystal system: tetragonal
# calculated volume: 79.3 Å³/f.u.
# calculated total energy: -44.80 eV per cell
# formation energy from raw total energies: 1.52 eV per formula unit
# DOS(E_F): 1.6 states/eV/cell